Record 1
! Li3Ce2SiNi12 (GGA-PBE, optimized geometry); values from VASP
&SYSTEM
  ibrav = 0, nat = 18, ntyp = 4
/
ATOMIC_SPECIES
Li 6.94 Li.upf
Ce 140.12 Ce.upf
Si 28.09 Si.upf
Ni 58.69 Ni.upf
ATOMIC_POSITIONS crystal
Li 0.0000 0.5000 0.5000
Li 0.5000 0.0000 0.5000
Li 0.5000 0.5000 0.0000
Ce 0.1511 0.1511 0.1511
Ce 0.8489 0.8489 0.8489
Si 0.5000 0.5000 0.5000
Ni 0.0775 0.0775 0.6921
Ni 0.0775 0.6921 0.0775
Ni 0.1308 0.5880 0.5880
Ni 0.3079 0.9225 0.9225
Ni 0.4120 0.4120 0.8692
Ni 0.4120 0.8692 0.4120
Ni 0.5880 0.1308 0.5880
Ni 0.5880 0.5880 0.1308
Ni 0.6921 0.0775 0.0775
Ni 0.8692 0.4120 0.4120
Ni 0.9225 0.3079 0.9225
Ni 0.9225 0.9225 0.3079
CELL_PARAMETERS angstrom
3.0373 1.7536 7.9925
-3.0373 1.7536 7.9925
0.0000 -3.5071 7.9925
! Space-group type ... R-3m
! Final energy ... -0.376 Ry/atom
! M_tot ... 0.00 μB/atom
! Formation energy (no corrections) ... 0.023 eV/atom
! Calculated volume ... 14.2 A^3/atom

=====

Record 2
! BaGeBi2Se (GGA-PBE, optimized geometry); values from VASP
&SYSTEM
  ibrav = 0, nat = 5, ntyp = 4
/
ATOMIC_SPECIES
Ba 137.33 Ba.upf
Ge 72.64 Ge.upf
Bi 208.98 Bi.upf
Se 78.96 Se.upf
ATOMIC_POSITIONS crystal
Ba 0.0000 0.0000 0.0000
Ge 0.0000 0.0000 0.5000
Bi 0.0000 0.5000 0.0000
Bi 0.5000 0.0000 0.0000
Se 0.5000 0.5000 0.5000
CELL_PARAMETERS angstrom
6.4131 0.0000 0.0000
0.0000 6.4131 0.0000
0.0000 0.0000 5.8930
! Space-group type ... P4/mmm
! Final energy ... -0.173 Ry/atom
! M_tot ... 0.43 μB/atom
! Formation energy (no corrections) ... 1.198 eV/atom
! Calculated volume ... 48.5 A^3/atom

=====

Record 3
! ErCd11Cu (GGA-PBE, optimized geometry); values from VASP
&SYSTEM
  ibrav = 0, nat = 13, ntyp = 3
/
ATOMIC_SPECIES
Er 167.26 Er.upf
Cd 112.41 Cd.upf
Cu 63.55 Cu.upf
ATOMIC_POSITIONS crystal
Er 0.0000 0.0000 0.0000
Cd 0.0000 0.0000 0.5000
Cd 0.0000 0.5000 0.0000
Cd 0.0181 0.3578 0.3555
Cd 0.3034 0.5103 0.7833
Cd 0.3578 0.0181 0.3555
Cd 0.4897 0.6966 0.2167
Cd 0.5000 0.0000 0.0000
Cd 0.5103 0.3034 0.7833
Cd 0.6422 0.9819 0.6445
Cd 0.6966 0.4897 0.2167
Cd 0.9819 0.6422 0.6445
Cu 0.5000 0.5000 0.5000
CELL_PARAMETERS angstrom
2.9083 -7.0151 0.0000
2.9083 7.0151 0.0000
-2.8597 0.0000 6.9690
! Space-group type ... C2/m
! Final energy ... -0.110 Ry/atom
! M_tot ... 0.00 μB/atom
! Calculated volume ... 21.9 A^3/atom

=====

Record 4
! PAu2 (GGA-PBE, optimized geometry); values from VASP
&SYSTEM
  ibrav = 0, nat = 3, ntyp = 2
/
ATOMIC_SPECIES
P 30.97 P.upf
Au 196.97 Au.upf
ATOMIC_POSITIONS crystal
P 0.0000 0.0000 0.0000
Au 0.3386 0.3386 0.0000
Au 0.6614 0.6614 0.0000
CELL_PARAMETERS angstrom
-1.7327 1.7327 4.3046
1.7327 -1.7327 4.3046
1.7327 1.7327 -4.3046
! Space-group type ... I4/mmm
! Final energy ... -0.267 Ry/atom
! M_tot ... 0.00 μB/atom
! Calculated volume ... 17.2 A^3/atom

=====

Record 5
! CaAc2Zr (GGA-PBE, optimized geometry); values from VASP
&SYSTEM
  ibrav = 0, nat = 4, ntyp = 3
/
ATOMIC_SPECIES
Ca 40.08 Ca.upf
Ac 227.00 Ac.upf
Zr 91.22 Zr.upf
ATOMIC_POSITIONS crystal
Ca 0.0000 0.0000 0.0000
Ac 0.4187 0.4187 0.4187
Ac 0.5813 0.5813 0.5813
Zr 0.5000 0.5000 0.5000
CELL_PARAMETERS angstrom
1.8075 1.0436 13.1635
-1.8075 1.0436 13.1635
0.0000 -2.0871 13.1635
! Space-group type ... R-3m
! Final energy ... -0.309 Ry/atom
! M_tot ... 0.00 μB/atom
! Calculated volume ... 37.2 A^3/atom

=====

Record 6
! Pr8HPt3I4 (GGA-PBE, optimized geometry); values from VASP
&SYSTEM
  ibrav = 0, nat = 16, ntyp = 4
/
ATOMIC_SPECIES
Pr 140.91 Pr.upf
H 1.01 H.upf
Pt 195.08 Pt.upf
I 126.90 I.upf
ATOMIC_POSITIONS crystal
Pr 0.2274 0.7333 0.6880
Pr 0.2286 0.2286 0.6891
Pr 0.2667 0.7726 0.3120
Pr 0.2711 0.2711 0.3130
Pr 0.7289 0.7289 0.6870
Pr 0.7333 0.2274 0.6880
Pr 0.7714 0.7714 0.3109
Pr 0.7726 0.2667 0.3120
H 0.0000 0.0000 0.5000
Pt 0.0000 0.5000 0.5000
Pt 0.5000 0.0000 0.5000
Pt 0.5000 0.5000 0.5000
I 0.0000 0.0000 0.0000
I 0.0000 0.5000 0.0000
I 0.5000 0.0000 0.0000
I 0.5000 0.5000 0.0000
CELL_PARAMETERS angstrom
7.3643 -4.2432 0.0000
7.3643 4.2432 0.0000
-4.9138 0.0000 8.0845
! Space-group type ... C2/m
! Final energy ... -0.372 Ry/atom
! M_tot ... 0.00 μB/atom
! Calculated volume ... 31.6 A^3/atom

=====

Record 7
! Ti6TlW (GGA-PBE, optimized geometry); values from VASP
&SYSTEM
  ibrav = 0, nat = 8, ntyp = 3
/
ATOMIC_SPECIES
Ti 47.87 Ti.upf
Tl 204.38 Tl.upf
W 183.84 W.upf
ATOMIC_POSITIONS crystal
Ti 0.1174 0.1174 0.1174
Ti 0.2510 0.2510 0.2510
Ti 0.3684 0.3684 0.3684
Ti 0.6316 0.6316 0.6316
Ti 0.7490 0.7490 0.7490
Ti 0.8826 0.8826 0.8826
Tl 0.5000 0.5000 0.5000
W 0.0000 0.0000 0.0000
CELL_PARAMETERS angstrom
2.3322 1.3465 7.4977
-2.3322 1.3465 7.4977
0.0000 -2.6930 7.4977
! Space-group type ... R-3m
! Final energy ... -0.572 Ry/atom
! M_tot ... 0.61 μB/atom
! Calculated volume ... 17.7 A^3/atom

=====

Record 8
! Na2Li3Pb2 (GGA-PBE, optimized geometry); values from VASP
&SYSTEM
  ibrav = 0, nat = 7, ntyp = 3
/
ATOMIC_SPECIES
Na 22.99 Na.upf
Li 6.94 Li.upf
Pb 207.20 Pb.upf
ATOMIC_POSITIONS crystal
Na 0.1587 0.2772 0.3175
Na 0.8413 0.7228 0.6825
Li 0.1739 0.4020 0.8117
Li 0.5000 0.0000 0.5000
Li 0.8261 0.5980 0.1883
Pb 0.4425 0.8445 0.0846
Pb 0.5575 0.1555 0.9154
CELL_PARAMETERS angstrom
3.5819 0.0000 0.0000
-1.7113 7.3116 0.0000
-0.3905 -3.4610 6.9729
! Space-group type ... P-1
! Energy above the lowest structure with this stoichiometry ... 0.671 eV/f.u.
! Final energy ... -0.175 Ry/atom
! M_tot ... 0.00 μB/atom
! Calculated volume ... 26.1 A^3/atom